First-principles (PBE-GGA) data for a geometry-optimized Ac3In2Hg structure, as listed in Alexandria.

abc: 5.786 5.786 14.207
angles: 90.00 90.00 120.00
Positions (direct):
Ac1 0.000 0.000 0.249
Ac2 0.000 0.000 0.751
Ac3 0.333 0.667 0.415
Ac4 0.333 0.667 0.916
Ac5 0.667 0.333 0.084
Ac6 0.667 0.333 0.585
In1 0.000 0.000 0.000
In2 0.000 0.000 0.500
In3 0.333 0.667 0.667
In4 0.667 0.333 0.333
Hg1 0.333 0.667 0.167
Hg2 0.667 0.333 0.833

Calculated values
ΔH_f (0 K) = -0.430 eV/atom
mass density = 8.959 g/cm3
energy above the lowest structure with this stoichiometry = 5 meV/atom
SG = P-3m1 (164)
VASP energy = -3.45 eV/atom

First-principles (PBE-GGA) data for a geometry-optimized Nd8Os3Br3O structure, as listed in Alexandria.

abc: 9.115 9.115 9.115
angles: 52.94 52.94 52.94
Positions (direct):
Nd1 0.234 0.234 0.234
Nd2 0.241 0.722 0.722
Nd3 0.278 0.278 0.759
Nd4 0.278 0.759 0.278
Nd5 0.722 0.241 0.722
Nd6 0.722 0.722 0.241
Nd7 0.759 0.278 0.278
Nd8 0.766 0.766 0.766
Os1 0.000 0.000 0.500
Os2 0.000 0.500 0.000
Os3 0.500 0.000 0.000
Br1 0.000 0.500 0.500
Br2 0.500 0.000 0.500
Br3 0.500 0.500 0.000
O1 0.500 0.500 0.500

Calculated values
mass density = 7.359 g/cm3
formation energy from raw total energies = -0.7966 eV per atom
SG = R-3m (166)
VASP energy = -6.25 eV/atom

First-principles (PBE-GGA) data for a geometry-optimized KZrRh2 structure, as listed in Alexandria.

abc: 6.162 6.162 6.162
angles: 105.02 105.02 118.80
Positions (direct):
K1 0.000 0.000 0.000
K2 0.750 0.250 0.500
Zr1 0.250 0.750 0.500
Zr2 0.500 0.500 0.000
Rh1 0.168 0.125 0.543
Rh2 0.375 0.832 0.957
Rh3 0.582 0.625 0.457
Rh4 0.875 0.418 0.043

Calculated values
ΔH_f (0 K) = 0.347 eV/atom
mass density = 6.327 g/cm3
energy above the lowest structure with this stoichiometry = 568 meV/atom
SG = I-42d (122)
VASP energy = -5.74 eV/atom

First-principles (PBE-GGA) data for a geometry-optimized KMg2Al structure, as listed in Alexandria.

abc: 3.634 3.634 8.757
angles: 90.00 90.00 90.00
Positions (direct):
K1 0.000 0.000 0.000
Mg1 0.000 0.000 0.548
Mg2 0.500 0.500 0.345
Al1 0.500 0.500 0.704

Calculated values
ΔH_f (0 K) = 0.184 eV/atom
mass density = 1.647 g/cm3
SG = P4mm (99)
VASP energy = -1.82 eV/atom

First-principles (PBE-GGA) data for a geometry-optimized Ca5Bi4Pb2 structure, as listed in Alexandria.

abc: 11.994 11.994 7.778
angles: 91.66 91.66 24.44
Positions (direct):
Ca1 0.000 0.000 0.000
Ca2 0.315 0.315 0.020
Ca3 0.324 0.324 0.496
Ca4 0.676 0.676 0.504
Ca5 0.685 0.685 0.980
Bi1 0.214 0.214 0.738
Bi2 0.441 0.441 0.209
Bi3 0.559 0.559 0.791
Bi4 0.786 0.786 0.262
Pb1 0.431 0.431 0.801
Pb2 0.569 0.569 0.199

Calculated values
ΔH_f (0 K) = -0.408 eV/atom
mass density = 5.205 g/cm3
SG = C2/m (12)
VASP energy = -3.40 eV/atom

First-principles (PBE-GGA) data for a geometry-optimized KScIn2F6 structure, as listed in Alexandria.

abc: 6.238 6.244 6.255
angles: 65.06 65.06 64.97
Positions (direct):
K1 0.000 0.000 0.000
Sc1 0.500 0.500 0.500
In1 0.266 0.267 0.268
In2 0.734 0.733 0.732
F1 0.201 0.366 0.674
F2 0.323 0.800 0.633
F3 0.366 0.674 0.202
F4 0.634 0.326 0.798
F5 0.677 0.200 0.367
F6 0.799 0.634 0.326

Calculated values
mass density = 3.715 g/cm3
formation energy from raw total energies = -2.8205 eV per atom
SG = P-1 (2)
VASP energy = -5.23 eV/atom

First-principles (PBE-GGA) data for a geometry-optimized Ac2TmCu2S6 structure, as listed in Alexandria.

abc: 7.745 7.745 7.745
angles: 54.00 54.00 54.00
Positions (direct):
Ac1 0.209 0.209 0.209
Ac2 0.791 0.791 0.791
Tm1 0.000 0.000 0.000
Cu1 0.427 0.427 0.427
Cu2 0.573 0.573 0.573
S1 0.218 0.751 0.751
S2 0.249 0.249 0.782
S3 0.249 0.782 0.249
S4 0.751 0.218 0.751
S5 0.751 0.751 0.218
S6 0.782 0.249 0.249

Calculated values
mass density = 5.540 g/cm3
formation energy from raw total energies = -1.2690 eV per atom
SG = R-3m (166)
VASP energy = -5.42 eV/atom

First-principles (PBE-GGA) data for a geometry-optimized Ce4Ru2I5 structure, as listed in Alexandria.

abc: 11.146 11.146 9.065
angles: 99.18 99.18 21.90
Positions (direct):
Ce1 0.020 0.020 0.215
Ce2 0.340 0.340 0.918
Ce3 0.660 0.660 0.082
Ce4 0.980 0.980 0.785
Ru1 0.442 0.442 0.982
Ru2 0.558 0.558 0.018
I1 0.166 0.166 0.357
I2 0.190 0.190 0.826
I3 0.500 0.500 0.500
I4 0.810 0.810 0.174
I5 0.834 0.834 0.643

Calculated values
mass density = 5.596 g/cm3
formation energy from raw total energies = -0.8431 eV per atom
SG = C2/m (12)
VASP energy = -5.39 eV/atom

First-principles (PBE-GGA) data for a geometry-optimized Sm2AgP structure, as listed in Alexandria.

abc: 7.802 7.802 7.802
angles: 30.05 30.05 30.05
Positions (direct):
Sm1 0.000 0.000 0.000
Sm2 0.189 0.189 0.189
Ag1 0.761 0.761 0.761
P1 0.595 0.595 0.595

Calculated values
ΔH_f (0 K) = -0.828 eV/atom
mass density = 6.921 g/cm3
SG = R3m (160)
VASP energy = -5.25 eV/atom

First-principles (PBE-GGA) data for a geometry-optimized PrSm3Dy structure, as listed in Alexandria.

abc: 3.625 11.757 8.794
angles: 90.00 101.86 90.00
Positions (direct):
Pr1 0.011 0.250 0.036
Pr2 0.989 0.750 0.964
Sm1 0.157 0.001 0.312
Sm2 0.157 0.499 0.312
Sm3 0.349 0.250 0.703
Sm4 0.651 0.750 0.297
Sm5 0.843 0.501 0.688
Sm6 0.843 0.999 0.688
Dy1 0.312 0.750 0.619
Dy2 0.688 0.250 0.381

Calculated values
ΔH_f (0 K) = 0.284 eV/atom
mass density = 6.831 g/cm3
energy above the lowest structure with this stoichiometry = 98 meV/atom
SG = P2_1/m (11)
VASP energy = -4.42 eV/atom

First-principles (PBE-GGA) data for a geometry-optimized LaTm3In2 structure, as listed in Alexandria.

abc: 8.570 8.570 9.179
angles: 117.18 117.18 36.62
Positions (direct):
La1 0.133 0.133 0.172
La2 0.867 0.867 0.828
Tm1 0.062 0.062 0.714
Tm2 0.307 0.307 0.011
Tm3 0.385 0.385 0.459
Tm4 0.615 0.615 0.541
Tm5 0.693 0.693 0.989
Tm6 0.938 0.938 0.286
In1 0.225 0.225 0.597
In2 0.484 0.484 0.832
In3 0.516 0.516 0.168
In4 0.775 0.775 0.403

Calculated values
ΔH_f (0 K) = -0.253 eV/atom
mass density = 8.245 g/cm3
energy above the lowest structure with this stoichiometry = 87 meV/atom
SG = C2/m (12)
VASP energy = -4.22 eV/atom

First-principles (PBE-GGA) data for a geometry-optimized LiLaNb4O12 structure, as listed in Alexandria.

abc: 5.617 5.617 8.025
angles: 90.00 90.00 90.00
Positions (direct):
Li1 0.000 0.000 0.000
La1 0.500 0.500 0.000
Nb1 0.000 0.500 0.258
Nb2 0.000 0.500 0.742
Nb3 0.500 0.000 0.258
Nb4 0.500 0.000 0.742
O1 0.000 0.500 0.000
O2 0.000 0.500 0.500
O3 0.256 0.256 0.228
O4 0.256 0.256 0.772
O5 0.256 0.744 0.228
O6 0.256 0.744 0.772
O7 0.500 0.000 0.000
O8 0.500 0.000 0.500
O9 0.744 0.256 0.228
O10 0.744 0.256 0.772
O11 0.744 0.744 0.228
O12 0.744 0.744 0.772

Calculated values
mass density = 4.652 g/cm3
formation energy from raw total energies = -2.6462 eV per atom
SG = P4/mmm (123)
VASP energy = -8.57 eV/atom

First-principles (PBE-GGA) data for a geometry-optimized NdZrPt6 structure, as listed in Alexandria.

abc: 4.126 4.126 8.256
angles: 90.00 90.00 90.00
Positions (direct):
Nd1 0.000 0.000 0.000
Zr1 0.000 0.000 0.500
Pt1 0.000 0.500 0.263
Pt2 0.000 0.500 0.737
Pt3 0.500 0.000 0.263
Pt4 0.500 0.000 0.737
Pt5 0.500 0.500 0.000
Pt6 0.500 0.500 0.500

Calculated values
ΔH_f (0 K) = -0.968 eV/atom
mass density = 16.613 g/cm3
SG = P4/mmm (123)
VASP energy = -7.16 eV/atom

First-principles (PBE-GGA) data for a geometry-optimized LiAgH2 structure, as listed in Alexandria.

abc: 3.781 3.781 3.781
angles: 60.00 60.00 60.00
Positions (direct):
Li1 0.000 0.000 0.000
Ag1 0.500 0.500 0.500
H1 0.250 0.250 0.250
H2 0.750 0.750 0.750

Calculated values
mass density = 5.077 g/cm3
energy above the lowest structure with this stoichiometry = 402 meV/atom
SG = Fm-3m (225)
VASP energy = -2.60 eV/atom

First-principles (PBE-GGA) data for a geometry-optimized TePAu structure, as listed in Alexandria.

abc: 6.619 6.161 3.625
angles: 80.61 66.68 32.71
Positions (direct):
Te1 0.000 0.000 0.000
P1 0.699 0.699 0.301
Au1 0.328 0.328 0.672

Calculated values
mass density = 8.567 g/cm3
energy above the lowest structure with this stoichiometry = 450 meV/atom
formation energy from raw total energies = 0.4558 eV per atom
SG = Fmm2 (42)
VASP energy = -3.49 eV/atom

First-principles (PBE-GGA) data for a geometry-optimized K4ReO5 structure, as listed in Alexandria.

abc: 6.393 6.393 6.393
angles: 101.77 101.77 126.30
Positions (direct):
K1 0.103 0.702 0.805
K2 0.298 0.103 0.402
K3 0.702 0.897 0.598
K4 0.897 0.298 0.195
Re1 0.458 0.458 0.000
O1 0.147 0.147 0.000
O2 0.326 0.475 0.710
O3 0.475 0.765 0.149
O4 0.616 0.326 0.851
O5 0.765 0.616 0.290

Calculated values
mass density = 3.735 g/cm3
formation energy from raw total energies = -1.6154 eV per atom
SG = I4 (79)
VASP energy = -5.78 eV/atom

First-principles (PBE-GGA) data for a geometry-optimized ZrMnAs2 structure, as listed in Alexandria.

abc: 5.870 5.870 3.795
angles: 90.21 90.21 36.02
Positions (direct):
Zr1 0.000 0.000 0.000
Mn1 0.222 0.222 0.503
As1 0.439 0.439 0.499
As2 0.700 0.700 0.002

Calculated values
ΔH_f (0 K) = -0.502 eV/atom
mass density = 6.392 g/cm3
SG = Cm (8)
VASP energy = -7.26 eV/atom

First-principles (PBE-GGA) data for a geometry-optimized ReNi structure, as listed in Alexandria.

abc: 3.725 3.725 3.725
angles: 60.00 60.00 60.00
Positions (direct):
Re1 0.000 0.000 0.000
Ni1 0.250 0.250 0.250

Calculated values
ΔH_f (0 K) = 1.620 eV/atom
mass density = 11.126 g/cm3
SG = F-43m (216)
VASP energy = -7.49 eV/atom

First-principles (PBE-GGA) data for a geometry-optimized ZrCoCuRh2 structure, as listed in Alexandria.

abc: 4.495 4.495 4.553
angles: 90.00 90.00 90.00
Positions (direct):
Zr1 0.000 0.000 0.000
Co1 0.000 0.000 0.500
Cu1 0.500 0.500 0.000
Rh1 0.000 0.500 0.500
Rh2 0.500 0.000 0.500

Calculated values
ΔH_f (0 K) = 0.659 eV/atom
mass density = 7.575 g/cm3
SG = P4/mmm (123)
VASP energy = -6.23 eV/atom

Number 1: M_tot 0.00 μB/cell. Number 2: M_tot 0.78 μB/cell. Number 3: M_tot 0.00 μB/cell. Number 4: M_tot 0.00 μB/cell. Number 5: M_tot 0.00 μB/cell. Number 6: M_tot 0.00 μB/cell. Number 7: M_tot 0.00 μB/cell. Number 8: M_tot 3.71 μB/cell. Number 9: M_tot 0.00 μB/cell. Number 10: M_tot 0.00 μB/cell. Number 11: M_tot 0.73 μB/cell. Number 12: M_tot 0.00 μB/cell. Number 13: M_tot 0.00 μB/cell. Number 14: M_tot 0.00 μB/cell. Number 15: M_tot 0.00 μB/cell. Number 16: M_tot 1.05 μB/cell. Number 17: M_tot 3.71 μB/cell. Number 18: M_tot 0.00 μB/cell. Number 19: M_tot 1.53 μB/cell.